Entry from Alexandria via LeMat-Bulk: crystalline CoPd2Au at its relaxed geometry (PBE).

Unit cell a=9.0815 b=9.0815 c=9.0815 alpha=17.74 beta=17.74 gamma=17.74
Last column: nearest neighbours and their distance in Å.
Positions (direct):
1 Co 0.0000 0.0000 0.0000  6 Pd 2.60, 6 Co 2.80
2 Pd 0.2572 0.2572 0.2572  3 Co 2.60, 6 Pd 2.80, 3 Au 2.92
3 Pd 0.7428 0.7428 0.7428  3 Co 2.60, 6 Pd 2.80, 3 Au 2.92
4 Au 0.5000 0.5000 0.5000  6 Au 2.80, 6 Pd 2.92

Values from the calculation:
Total magnetization (μB per atom): 0.66
Energy (eV/atom): -5.152
DOS(E_F) (states/eV per cell): 5.18
Energy of formation (eV per atom): 0.040
SG: R-3m

---

Entry from Alexandria via LeMat-Bulk: crystalline Zn2FeTc at its relaxed geometry (PBE).

Unit cell a=4.8075 b=4.8075 c=2.5854 alpha=90.31 beta=90.31 gamma=113.45
Last column: nearest neighbours and their distance in Å.
Positions (direct):
1 Zn 0.0000 0.5000 0.0000  4 Zn 2.59-2.64, 4 Tc 2.72-2.74, 4 Fe 2.72-2.74
2 Zn 0.5000 0.0000 0.0000  4 Zn 2.59-2.64, 4 Tc 2.72-2.74, 4 Fe 2.72-2.74
3 Fe 0.0000 0.0000 0.5000  2 Fe 2.59, 2 Tc 2.64, 8 Zn 2.72-2.74
4 Tc 0.5000 0.5000 0.5000  2 Tc 2.59, 2 Fe 2.64, 8 Zn 2.72-2.74

Values from the calculation:
Total magnetization (μB per atom): 0.77
Energy (eV/atom): -5.252
DOS(E_F) (states/eV per cell): 2.14
Energy of formation (eV per atom): 0.092
SG: C2/m
Energy above the lowest structure with this stoichiometry (meV per atom): 85.8

---

Q: Which of these has the highest total magnetization?
A: Zn2FeTc

---

Q: Which of these has the highest energy?
A: CoPd2Au